## Rb2AcCrF6 (PBE+U)

Data for an optimized crystal structure of Rb2AcCrF6.

Computed properties:
Raw total energy in eV per cell: -108.68

Cell and atoms, written as CIF:
```
data_Rb2AcCrF6
_chemical_formula_sum 'Rb4 Ac2 Cr2 F12'
_cell_length_a 7.101
_cell_length_b 8.701
_cell_length_c 7.529
_cell_angle_alpha 90.00
_cell_angle_beta 90.00
_cell_angle_gamma 90.00
_space_group_name_H-M_alt 'P m m n'
_space_group_IT_number 59
loop_
_space_group_symop_operation_xyz
'x,y,z'
'-x,-y,-z'
'-x+1/2,-y+1/2,z'
'x+1/2,y+1/2,-z'
'x+1/2,-y,-z'
'-x+1/2,y,z'
'-x,y+1/2,-z'
'x,-y+1/2,z'
loop_
_atom_site_label
_atom_site_type_symbol
_atom_site_fract_x
_atom_site_fract_y
_atom_site_fract_z
Rb1 Rb 0.250 0.013 0.152
Ac1 Ac 0.250 0.250 0.665
Cr1 Cr 0.250 0.750 0.742
F1 F 0.002 0.750 0.122
F2 F 0.045 0.250 0.411
F3 F 0.250 0.516 0.762
```